Crystalline Fe3TeN at its relaxed geometry. Source: Alexandria via LeMat-Bulk, functional PBE.

Unit cell a=4.849 b=4.849 c=4.849 alpha=90.00 beta=90.00 gamma=90.00
Element x y z (fractional)
Fe (0.000, 0.000, 0.500)
Fe (0.000, 0.500, 0.000)
Fe (0.500, 0.000, 0.000)
Te (0.000, 0.000, 0.000)
N (0.500, 0.500, 0.500)

## Properties
Its volume is 114.00 Å³/f.u. The formation energy without anion corrections is 2.151 eV per atom. The value obtained for the total magnetization is 11.0 μB per formula unit.